1.
This record from the Alexandria database describes an optimized crystal structure of Dy3Tl3Cd. The functional is PBE.

```
Dy3Tl3Cd
1.0
5.4339 0.0000 0.0000
0.0000 9.0472 0.0000
0.0000 -4.5236 7.8351
Dy Tl Cd
6 6 2
direct
0.2500 0.1000 0.6468
0.7500 0.4532 0.1000
0.2500 0.5468 0.9000
0.7500 0.6468 0.5468
0.7500 0.9000 0.3532
0.2500 0.3532 0.4532
0.7500 0.0528 0.8033
0.2500 0.9472 0.1967
0.7500 0.1967 0.2495
0.2500 0.2495 0.0528
0.2500 0.8033 0.7505
0.7500 0.7505 0.9472
0.7500 0.3333 0.6667
0.2500 0.6667 0.3333
```

Its energy of formation from the pure elements is -1.338 eV/f.u. As for the total energy: -46.32 eV for the cell shown. As for the space group: P6_3/m (176). The total magnetic moment is 0.00 μB per cell. Its polymorph energy (0 for the lowest one) is 79 meV/atom. For the volume, the calculation gives 385.18 Å³/cell.

=====

2.
This record from the Alexandria database describes an optimized crystal structure of BaTl2SiSb. The functional is PBE.

```
BaTl2SiSb
1.0
-5.0440 -1.5106 -3.4694
3.2431 -3.3439 -3.2591
-1.1747 -4.8707 3.8285
Tl Si Ba Sb
2 1 1 1
direct
0.0000 0.0000 0.5000
0.5000 0.0000 0.0000
0.0000 0.5000 0.0000
0.0000 0.0000 0.0000
0.5000 0.5000 0.5000
```

As for the total energy: -10.98 eV for the cell shown. As for the space group: P4/mmm (123). The total magnetic moment is 0.00 μB per cell. The calculation puts the formation energy (no corrections) at 1044.6 meV/atom. For the volume, the calculation gives 226.05 Å³/cell.

=====

3.
This record from the Alexandria database describes an optimized crystal structure of La6Tm8Th. The functional is PBE.

```
La6Tm8Th
1.0
7.8633 0.1913 3.9048
2.5012 7.4574 3.9048
0.2592 0.1913 8.7756
Th La Tm
1 6 8
direct
0.0000 0.0000 0.0000
0.2369 0.0879 0.5346
0.0879 0.5346 0.2369
0.5346 0.2369 0.0879
0.7631 0.9121 0.4654
0.9121 0.4654 0.7631
0.4654 0.7631 0.9121
0.7753 0.1158 0.6984
0.8842 0.3016 0.2247
0.1158 0.6984 0.7753
0.2247 0.8842 0.3016
0.3016 0.2247 0.8842
0.5765 0.5765 0.5765
0.6984 0.7753 0.1158
0.4235 0.4235 0.4235
```

Its energy of formation from the pure elements is 1.753 eV/f.u. As for the total energy: -71.00 eV for the cell shown. As for the space group: R-3 (148). The total magnetic moment is 0.00 μB per cell. For the volume, the calculation gives 499.04 Å³/cell.

=====

4.
This record from the Alexandria database describes an optimized crystal structure of GdYCoOs. The functional is PBE.

```
GdYCoOs
1.0
4.8207 0.0000 0.0000
2.4103 4.1748 0.0000
2.4103 1.3916 3.9361
Co Y Os Gd
1 1 1 1
direct
0.0000 0.0000 0.0000
0.7500 0.7500 0.7500
0.5000 0.5000 0.5000
0.2500 0.2500 0.2500
```

Its energy of formation from the pure elements is -0.274 eV/f.u. As for the total energy: -39.15 eV for the cell shown. As for the space group: F-43m (216). The total magnetic moment is 6.41 μB per cell. For the volume, the calculation gives 79.22 Å³/cell.

=====

5.
This record from the Alexandria database describes an optimized crystal structure of TcAg2Cl. The functional is PBE.

```
TcAg2Cl
1.0
-6.5646 -6.8860 1.3544
-5.3948 -6.8315 4.0708
-7.5405 -4.9285 3.3460
Cl Ag Tc
1 2 1
direct
0.4823 0.4823 0.4823
0.0067 0.0067 0.0067
0.2572 0.2572 0.2572
0.7537 0.7537 0.7537
```

As for the total energy: -16.97 eV for the cell shown. As for the space group: R3m (160). The total magnetic moment is 0.00 μB per cell. The calculation puts the formation energy (no corrections) at 237.4 meV/atom. Its polymorph energy (0 for the lowest one) is 0 meV/atom. For the volume, the calculation gives 71.66 Å³/cell.

=====

6.
This record from the Alexandria database describes an optimized crystal structure of Ca5MgPb6. The functional is PBE.

```
Ca5MgPb6
1.0
4.8442 0.0180 -1.4123
-1.2557 8.0678 -4.2025
0.0654 -0.4067 9.2324
Pb Ca Mg
6 5 1
direct
0.8340 0.0814 0.6680
0.1660 0.9186 0.3320
0.1660 0.4134 0.3320
0.5001 0.7551 0.0000
0.4999 0.2449 0.0000
0.8340 0.5866 0.6680
0.6674 0.6674 0.3347
0.3403 0.8403 0.6807
0.3326 0.3326 0.6653
0.6597 0.1597 0.3193
0.0000 0.5000 0.0000
0.0000 0.0000 0.0000
```

Its energy of formation from the pure elements is -5.285 eV/f.u. As for the total energy: -39.14 eV for the cell shown. As for the space group: Immm (71). The total magnetic moment is 0.00 μB per cell. For the volume, the calculation gives 352.77 Å³/cell.

=====

7.
This record from the Alexandria database describes an optimized crystal structure of Ca2CdHg4. The functional is PBE.

```
Ca2CdHg4
1.0
5.4223 0.0000 0.0000
0.0000 5.4223 0.0000
-2.7111 -2.7111 7.9562
Hg Ca Cd
4 2 1
direct
0.0000 0.5000 0.0000
0.8130 0.8130 0.6260
0.5000 0.0000 0.0000
0.1870 0.1870 0.3740
0.6193 0.6193 0.2386
0.3807 0.3807 0.7614
0.0000 0.0000 0.0000
```

Its energy of formation from the pure elements is -0.804 eV/f.u. As for the total energy: -6.93 eV for the cell shown. As for the space group: I4/mmm (139). The total magnetic moment is 0.00 μB per cell. Its polymorph energy (0 for the lowest one) is 204 meV/atom. For the volume, the calculation gives 233.92 Å³/cell.

=====

8.
This record from the Alexandria database describes an optimized crystal structure of RbBP. The functional is PBE.

```
RbBP
1.0
4.8240 -0.0004 -0.0002
-2.3095 5.7285 0.0001
-0.0634 -2.9587 6.3317
P Rb B
2 2 2
direct
0.7398 0.8717 0.1821
0.1613 0.7205 0.7577
0.4079 0.2020 0.5667
0.0411 0.4575 0.1616
0.5232 0.7819 0.9148
0.8619 0.7814 0.9143
```

Its energy of formation from the pure elements is -0.537 eV/f.u. As for the total energy: -27.18 eV for the cell shown. As for the space group: P1 (1). The total magnetic moment is 0.00 μB per cell. Its polymorph energy (0 for the lowest one) is 52 meV/atom. For the volume, the calculation gives 174.96 Å³/cell.

=====

9.
This record from the Alexandria database describes an optimized crystal structure of BaMo2Pd. The functional is PBE.

```
BaMo2Pd
1.0
-1.7567 0.3241 -4.3627
-1.0036 -4.6057 0.0619
-10.2270 -0.1632 1.5588
Mo Pd Ba
4 2 2
direct
0.8750 0.6463 0.7500
0.3963 0.1250 0.2500
0.3750 0.6037 0.7500
0.3537 0.6250 0.2500
0.2500 0.7500 0.5000
0.5000 0.5000 0.0000
0.7500 0.2500 0.5000
0.0000 0.0000 0.0000
```

Its energy of formation from the pure elements is 3.776 eV/f.u. As for the total energy: -50.00 eV for the cell shown. As for the space group: I-42d (122). The total magnetic moment is 0.00 μB per cell. Its polymorph energy (0 for the lowest one) is 0 meV/atom. For the volume, the calculation gives 217.68 Å³/cell.

=====

10.
This record from the Alexandria database describes an optimized crystal structure of MgCrCoSn. The functional is PBE.

```
MgCrCoSn
1.0
-3.7114 1.6853 -1.8067
-3.1597 -2.7321 -1.5592
-3.8898 -0.3655 2.1482
Cr Mg Sn Co
1 1 1 1
direct
0.2500 0.2500 0.2500
0.0000 0.0000 0.0000
0.5000 0.5000 0.5000
0.7500 0.7500 0.7500
```

Its energy of formation from the pure elements is 0.385 eV/f.u. As for the total energy: -21.94 eV for the cell shown. As for the space group: F-43m (216). The total magnetic moment is 3.26 μB per cell. For the volume, the calculation gives 62.67 Å³/cell.

=====

11.
This record from the Alexandria database describes an optimized crystal structure of Zr2GaO. The functional is PBE.

```
Zr2GaO
1.0
-2.2043 2.3180 -2.5053
-4.0485 -0.3405 -0.0478
-2.5375 5.3788 3.9146
Ga Zr O
1 2 1
direct
0.5000 0.5000 0.5000
0.9021 0.9021 0.2937
0.0979 0.0979 0.7063
0.0000 0.0000 0.0000
```

As for the total energy: -29.12 eV for the cell shown. As for the space group: R-3m (166). The total magnetic moment is 0.00 μB per cell. The calculation puts the formation energy (no corrections) at -1009.6 meV/atom. Its polymorph energy (0 for the lowest one) is 42 meV/atom. For the volume, the calculation gives 96.11 Å³/cell.

=====

12.
This record from the Alexandria database describes an optimized crystal structure of GdPuAlZn. The functional is PBE.

```
GdPuAlZn
1.0
-4.3245 -1.8836 1.9648
-0.0597 -1.8094 4.7783
-2.4661 2.5600 3.6706
Pu Zn Gd Al
1 1 1 1
direct
0.2500 0.2500 0.2500
0.0000 0.0000 0.0000
0.7500 0.7500 0.7500
0.5000 0.5000 0.5000
```

Its energy of formation from the pure elements is -0.710 eV/f.u. As for the total energy: -34.14 eV for the cell shown. As for the space group: F-43m (216). The total magnetic moment is 1.30 μB per cell. For the volume, the calculation gives 94.34 Å³/cell.